First-principles (meta-GGA SCAN) data for ScNi6Mo at its PBEsol-relaxed geometry, as listed in the Alexandria database.

DOS at the Fermi energy: 18.15 states/eV/cell
DFT formation energy: -0.170 eV/atom
Symmetry: Cmmm
Energy: -18.44 eV per atom

Cell lengths 6.262, 6.262, 10.213 Å; angles 90.00, 90.00, 109.40 degrees
Atoms (fractional coordinates):
Sc: 0.000 0.000 0.250
Sc: 0.000 0.000 0.750
Sc: 0.249 0.751 0.000
Sc: 0.751 0.249 0.000
Ni: 0.000 0.000 0.000
Ni: 0.000 0.000 0.500
Ni: 0.129 0.384 0.378
Ni: 0.129 0.384 0.622
Ni: 0.132 0.379 0.129
Ni: 0.132 0.379 0.871
Ni: 0.254 0.746 0.257
Ni: 0.254 0.746 0.743
Ni: 0.379 0.132 0.129
Ni: 0.379 0.132 0.871
Ni: 0.384 0.129 0.378
Ni: 0.384 0.129 0.622
Ni: 0.500 0.500 0.000
Ni: 0.500 0.500 0.500
Ni: 0.616 0.871 0.378
Ni: 0.616 0.871 0.622
Ni: 0.621 0.868 0.129
Ni: 0.621 0.868 0.871
Ni: 0.746 0.254 0.257
Ni: 0.746 0.254 0.743
Ni: 0.868 0.621 0.129
Ni: 0.868 0.621 0.871
Ni: 0.871 0.616 0.378
Ni: 0.871 0.616 0.622
Mo: 0.246 0.754 0.500
Mo: 0.500 0.500 0.247
Mo: 0.500 0.500 0.753
Mo: 0.754 0.246 0.500

***

First-principles (meta-GGA SCAN) data for Sc2NiMo at its PBEsol-relaxed geometry, as listed in the Alexandria database.

DOS at the Fermi energy: 7.67 states/eV/cell
DFT formation energy: 0.104 eV/atom
Symmetry: I-4m2
Energy: -19.78 eV per atom

Cell lengths 3.829, 3.829, 9.006 Å; angles 90.00, 90.00, 90.00 degrees
Atoms (fractional coordinates):
Sc: 0.000 0.000 0.000
Sc: 0.000 0.500 0.250
Sc: 0.500 0.000 0.750
Sc: 0.500 0.500 0.500
Ni: 0.000 0.500 0.750
Ni: 0.500 0.000 0.250
Mo: 0.000 0.000 0.500
Mo: 0.500 0.500 0.000

***

First-principles (meta-GGA SCAN) data for Sc2NiMo at its PBEsol-relaxed geometry, as listed in the Alexandria database.

DOS at the Fermi energy: 7.23 states/eV/cell
DFT formation energy: -0.007 eV/atom
Symmetry: Imm2
Energy: -19.89 eV per atom

Cell lengths 3.193, 4.416, 9.393 Å; angles 90.00, 90.00, 90.00 degrees
Atoms (fractional coordinates):
Sc: 0.000 0.000 0.000
Sc: 0.000 0.500 0.224
Sc: 0.500 0.000 0.724
Sc: 0.500 0.500 0.500
Ni: 0.000 0.000 0.480
Ni: 0.500 0.500 0.980
Mo: 0.000 0.500 0.762
Mo: 0.500 0.000 0.262

***

First-principles (meta-GGA SCAN) data for ScNiMo2 at its PBEsol-relaxed geometry, as listed in the Alexandria database.

DOS at the Fermi energy: 15.38 states/eV/cell
DFT formation energy: 0.389 eV/atom
Distance to the lowest polymorph of the same formula: 340.4 meV per atom
Symmetry: R3m
Energy: -24.66 eV per atom

Cell lengths 2.786, 2.786, 27.249 Å; angles 90.00, 90.00, 120.00 degrees
Atoms (fractional coordinates):
Sc: 0.000 0.000 0.000
Sc: 0.333 0.667 0.667
Sc: 0.667 0.333 0.333
Ni: 0.000 0.000 0.746
Ni: 0.333 0.667 0.412
Ni: 0.667 0.333 0.079
Mo: 0.000 0.000 0.241
Mo: 0.000 0.000 0.487
Mo: 0.333 0.667 0.154
Mo: 0.333 0.667 0.908
Mo: 0.667 0.333 0.574
Mo: 0.667 0.333 0.820

***

First-principles (meta-GGA SCAN) data for Ni2MoSe at its PBEsol-relaxed geometry, as listed in the Alexandria database.

DOS at the Fermi energy: 5.53 states/eV/cell
Energy relative to the elements, uncorrected: 0.265 eV/atom
Symmetry: Cm
Energy: -21.56 eV per atom

Cell lengths 7.973, 2.828, 4.719 Å; angles 90.00, 100.98, 90.00 degrees
Atoms (fractional coordinates):
Ni: 0.000 0.000 0.000
Ni: 0.248 0.500 0.224
Ni: 0.500 0.500 0.000
Ni: 0.748 0.000 0.224
Mo: 0.496 0.000 0.472
Mo: 0.996 0.500 0.472
Se: 0.249 0.000 0.784
Se: 0.749 0.500 0.784

***

First-principles (meta-GGA SCAN) data for Ni2MoSe at its PBEsol-relaxed geometry, as listed in the Alexandria database.

DOS at the Fermi energy: 10.19 states/eV/cell
Energy relative to the elements, uncorrected: 0.417 eV/atom
Symmetry: I4/mmm
Energy: -21.41 eV per atom

Cell lengths 3.616, 3.616, 7.898 Å; angles 90.00, 90.00, 90.00 degrees
Atoms (fractional coordinates):
Ni: 0.000 0.500 0.250
Ni: 0.000 0.500 0.750
Ni: 0.500 0.000 0.250
Ni: 0.500 0.000 0.750
Mo: 0.000 0.000 0.000
Mo: 0.500 0.500 0.500
Se: 0.000 0.000 0.500
Se: 0.500 0.500 0.000

***

First-principles (meta-GGA SCAN) data for SiNiMo2 at its PBEsol-relaxed geometry, as listed in the Alexandria database.

DOS at the Fermi energy: 4.87 states/eV/cell
Energy relative to the elements, uncorrected: -0.147 eV/atom
Symmetry: Cm
Energy: -24.14 eV per atom

Cell lengths 9.311, 2.637, 4.524 Å; angles 90.00, 108.57, 90.00 degrees
Atoms (fractional coordinates):
Si: 0.000 0.000 0.000
Si: 0.500 0.500 0.000
Ni: 0.298 0.000 0.701
Ni: 0.798 0.500 0.701
Mo: 0.048 0.500 0.535
Mo: 0.255 0.500 0.178
Mo: 0.548 0.000 0.535
Mo: 0.755 0.000 0.178

***

First-principles (meta-GGA SCAN) data for SiNi3Mo2 at its PBEsol-relaxed geometry, as listed in the Alexandria database.

DOS at the Fermi energy: 9.10 states/eV/cell
Energy relative to the elements, uncorrected: -0.260 eV/atom
Distance to the lowest polymorph of the same formula: 99.7 meV per atom
Symmetry: Amm2
Energy: -21.64 eV per atom

Cell lengths 7.513, 4.664, 4.664 Å; angles 60.89, 90.00, 90.00 degrees
Atoms (fractional coordinates):
Si: 0.000 0.247 0.753
Si: 0.000 0.753 0.247
Ni: 0.000 0.237 0.237
Ni: 0.242 0.425 0.425
Ni: 0.500 0.082 0.589
Ni: 0.500 0.589 0.082
Ni: 0.500 0.590 0.590
Ni: 0.758 0.425 0.425
Mo: 0.190 0.756 0.756
Mo: 0.318 0.085 0.085
Mo: 0.682 0.085 0.085
Mo: 0.810 0.756 0.756

***

Which of these has the lowest DOS at the Fermi energy?
SiNiMo2

***

What is the formula in the seventh record?
SiNiMo2

***

The lowest DOS at the Fermi energy belongs to which entry?
SiNiMo2

***

Among the records above, which one has the lowest energy?
ScNiMo2